Entry 1:
Below is a geometry-optimized KNaAgAsO4 structure, with properties calculated at the GGA-PBE level.

Computed properties:
Uncorrected energy, eV per cell: -40.555
Symmetry: No. 82

Cell: 5.432 5.432 5.432 Å, 114.61 114.61 99.62°
Fractional coordinates of all 8 atoms:
K1 0.000 0.000 0.000
Na1 0.250 0.750 0.500
Ag1 0.750 0.250 0.500
As1 0.500 0.500 0.000
O1 0.195 0.538 0.012
O2 0.462 0.473 0.657
O3 0.527 0.183 0.988
O4 0.817 0.805 0.343

Entry 2:
Below is a geometry-optimized Mg2ZrScCu2Au2 structure, with properties calculated at the GGA-PBE level.

Computed properties:
Uncorrected energy, eV per cell: -35.514
Symmetry: No. 115

Cell: 4.638 4.638 6.547 Å, 90.00 90.00 90.00°
Fractional coordinates of all 8 atoms:
Mg1 0.000 0.000 0.000
Mg2 0.500 0.500 0.500
Zr1 0.000 0.000 0.500
Sc1 0.500 0.500 0.000
Cu1 0.000 0.500 0.252
Cu2 0.500 0.000 0.748
Au1 0.000 0.500 0.750
Au2 0.500 0.000 0.250

Entry 3:
Below is a geometry-optimized GdBi structure, with properties calculated at the GGA-PBE level.

Computed properties:
Uncorrected energy, eV per cell: -10.531
Symmetry: No. 225

Cell: 4.498 4.498 4.498 Å, 60.00 60.00 60.00°
Fractional coordinates of all 2 atoms:
Gd1 0.000 0.000 0.000
Bi1 0.500 0.500 0.500

Entry 4:
Below is a geometry-optimized BeHgPdPb structure, with properties calculated at the GGA-PBE level.

Computed properties:
Uncorrected energy, eV per cell: -11.336
Symmetry: No. 216

Cell: 4.801 4.801 4.801 Å, 60.00 60.00 60.00°
Fractional coordinates of all 4 atoms:
Be1 0.000 0.000 0.000
Hg1 0.500 0.500 0.500
Pd1 0.750 0.750 0.750
Pb1 0.250 0.250 0.250